[1]
BaCoSi2 | GGA-PBEsol | optimized geometry

* total DFT energy (no corrections): -5.43 eV per atom
* uncorrected formation energy: -0.09 eV/atom
* crystal system: tetragonal
* Fermi-level density of states: 3.40 states/eV per cell

Unit cell a=3.103 b=3.103 c=7.361 alpha=90.00 beta=90.00 gamma=90.00
Positions (direct):
Ba (0.000, 0.000, 0.000)
Co (0.000, 0.000, 0.500)
Si (0.500, 0.500, 0.337)
Si (0.500, 0.500, 0.663)


[2]
BaSr3Co | GGA-PBEsol | optimized geometry

* total DFT energy (no corrections): -2.82 eV per atom
* crystal system: cubic
* calculated formation energy: 1.29 eV per formula unit
* Fermi-level density of states: 4.98 states/eV per cell

Unit cell a=5.899 b=5.899 c=5.899 alpha=90.00 beta=90.00 gamma=90.00
Positions (direct):
Ba (0.000, 0.000, 0.000)
Sr (0.000, 0.500, 0.500)
Sr (0.500, 0.000, 0.500)
Sr (0.500, 0.500, 0.000)
Co (0.500, 0.500, 0.500)


[3]
BaSr2Co | GGA-PBEsol | optimized geometry

* total DFT energy (no corrections): -3.01 eV per atom
* crystal system: tetragonal
* calculated formation energy: 1.52 eV per formula unit
* Fermi-level density of states: 6.60 states/eV per cell

Unit cell a=3.785 b=3.785 c=10.273 alpha=90.00 beta=90.00 gamma=90.00
Positions (direct):
Ba (0.000, 0.000, 0.000)
Sr (0.000, 0.000, 0.338)
Sr (0.500, 0.500, 0.661)
Co (0.500, 0.500, 0.173)


[4]
Ba2SrCo | GGA-PBEsol | optimized geometry

* total DFT energy (no corrections): -3.14 eV per atom
* crystal system: orthorhombic
* E above lowest polymorph: 0.000 eV per atom
* calculated formation energy: 1.31 eV per formula unit
* Fermi-level density of states: 9.69 states/eV per cell

Unit cell a=5.976 b=13.588 c=4.178 alpha=90.00 beta=90.00 gamma=90.00
Positions (direct):
Ba (0.000, 0.149, 0.000)
Ba (0.000, 0.851, 0.000)
Ba (0.500, 0.351, 0.000)
Ba (0.500, 0.649, 0.000)
Sr (0.000, 0.500, 0.500)
Sr (0.500, 0.000, 0.500)
Co (0.000, 0.000, 0.500)
Co (0.500, 0.500, 0.500)


[5]
Ba2SrCo | GGA-PBEsol | optimized geometry

* total DFT energy (no corrections): -3.06 eV per atom
* crystal system: orthorhombic
* E above lowest polymorph: 0.077 eV per atom
* calculated formation energy: 1.62 eV per formula unit
* Fermi-level density of states: 11.44 states/eV per cell

Unit cell a=3.879 b=6.153 c=12.806 alpha=90.00 beta=90.00 gamma=90.00
Positions (direct):
Ba (0.000, 0.000, 0.000)
Ba (0.000, 0.500, 0.171)
Ba (0.500, 0.000, 0.671)
Ba (0.500, 0.500, 0.500)
Sr (0.000, 0.000, 0.342)
Sr (0.500, 0.500, 0.842)
Co (0.000, 0.500, 0.669)
Co (0.500, 0.000, 0.169)


[6]
Ba2SrCo | GGA-PBEsol | optimized geometry

* total DFT energy (no corrections): -3.07 eV per atom
* crystal system: orthorhombic
* E above lowest polymorph: 0.070 eV per atom
* calculated formation energy: 1.59 eV per formula unit
* Fermi-level density of states: 8.15 states/eV per cell

Unit cell a=3.861 b=6.121 c=12.643 alpha=90.00 beta=90.00 gamma=90.00
Positions (direct):
Ba (0.000, 0.000, 0.169)
Ba (0.000, 0.000, 0.831)
Ba (0.500, 0.500, 0.331)
Ba (0.500, 0.500, 0.669)
Sr (0.000, 0.500, 0.000)
Sr (0.500, 0.000, 0.500)
Co (0.000, 0.500, 0.500)
Co (0.500, 0.000, 0.000)


[7]
Ba2TaCo | GGA-PBEsol | optimized geometry

* total DFT energy (no corrections): -5.64 eV per atom
* crystal system: monoclinic
* E above lowest polymorph: 0.121 eV per atom
* calculated formation energy: 2.05 eV per formula unit
* Fermi-level density of states: 9.71 states/eV per cell

Unit cell a=19.171 b=3.311 c=3.711 alpha=90.00 beta=101.07 gamma=90.00
Positions (direct):
Ba (0.149, 0.000, 0.147)
Ba (0.351, 0.500, 0.853)
Ba (0.649, 0.500, 0.147)
Ba (0.851, 0.000, 0.853)
Ta (0.000, 0.000, 0.500)
Ta (0.500, 0.500, 0.500)
Co (0.000, 0.500, 0.000)
Co (0.500, 0.000, 0.000)


[8]
BaTaCo | GGA-PBEsol | optimized geometry

* total DFT energy (no corrections): -7.02 eV per atom
* crystal system: tetragonal
* calculated formation energy: 1.38 eV per formula unit
* Fermi-level density of states: 6.11 states/eV per cell

Unit cell a=3.267 b=3.267 c=12.600 alpha=90.00 beta=90.00 gamma=90.00
Positions (direct):
Ba (0.000, 0.000, 0.000)
Ba (0.500, 0.500, 0.500)
Ta (0.000, 0.000, 0.730)
Ta (0.500, 0.500, 0.230)
Co (0.000, 0.000, 0.295)
Co (0.500, 0.500, 0.795)


[9]
BaTa2Co | GGA-PBEsol | optimized geometry

* total DFT energy (no corrections): -8.17 eV per atom
* crystal system: trigonal
* calculated formation energy: 2.30 eV per formula unit
* Fermi-level density of states: 13.13 states/eV per cell

Unit cell a=3.944 b=3.944 c=21.208 alpha=90.00 beta=90.00 gamma=120.00
Positions (direct):
Ba (0.000, 0.000, 0.000)
Ba (0.333, 0.667, 0.667)
Ba (0.667, 0.333, 0.333)
Ta (0.000, 0.000, 0.208)
Ta (0.000, 0.000, 0.792)
Ta (0.333, 0.667, 0.459)
Ta (0.333, 0.667, 0.875)
Ta (0.667, 0.333, 0.125)
Ta (0.667, 0.333, 0.541)
Co (0.000, 0.000, 0.500)
Co (0.333, 0.667, 0.167)
Co (0.667, 0.333, 0.833)


[10]
Ba2TaCo | GGA-PBEsol | optimized geometry

* total DFT energy (no corrections): -5.76 eV per atom
* crystal system: trigonal
* E above lowest polymorph: 0.000 eV per atom
* calculated formation energy: 1.56 eV per formula unit
* Fermi-level density of states: 11.35 states/eV per cell

Unit cell a=4.078 b=4.078 c=27.181 alpha=90.00 beta=90.00 gamma=120.00
Positions (direct):
Ba (0.000, 0.000, 0.000)
Ba (0.000, 0.000, 0.183)
Ba (0.333, 0.667, 0.667)
Ba (0.333, 0.667, 0.849)
Ba (0.667, 0.333, 0.333)
Ba (0.667, 0.333, 0.516)
Ta (0.000, 0.000, 0.426)
Ta (0.333, 0.667, 0.093)
Ta (0.667, 0.333, 0.759)
Co (0.000, 0.000, 0.750)
Co (0.333, 0.667, 0.417)
Co (0.667, 0.333, 0.084)


[11]
Ba2TaCo | GGA-PBEsol | optimized geometry

* total DFT energy (no corrections): -4.71 eV per atom
* crystal system: cubic
* E above lowest polymorph: 1.043 eV per atom
* calculated formation energy: 5.73 eV per formula unit
* Fermi-level density of states: 32.26 states/eV per cell

Unit cell a=7.594 b=7.594 c=7.594 alpha=90.00 beta=90.00 gamma=90.00
Positions (direct):
Ba (0.250, 0.250, 0.250)
Ba (0.250, 0.250, 0.750)
Ba (0.250, 0.750, 0.250)
Ba (0.250, 0.750, 0.750)
Ba (0.750, 0.250, 0.250)
Ba (0.750, 0.250, 0.750)
Ba (0.750, 0.750, 0.250)
Ba (0.750, 0.750, 0.750)
Ta (0.000, 0.000, 0.000)
Ta (0.000, 0.500, 0.500)
Ta (0.500, 0.000, 0.500)
Ta (0.500, 0.500, 0.000)
Co (0.000, 0.000, 0.500)
Co (0.000, 0.500, 0.000)
Co (0.500, 0.000, 0.000)
Co (0.500, 0.500, 0.500)


[12]
Ba2CoTc | GGA-PBEsol | optimized geometry

* total DFT energy (no corrections): -4.64 eV per atom
* crystal system: cubic
* E above lowest polymorph: 0.592 eV per atom
* calculated formation energy: 4.75 eV per formula unit
* Fermi-level density of states: 22.33 states/eV per cell

Unit cell a=7.305 b=7.305 c=7.305 alpha=90.00 beta=90.00 gamma=90.00
Positions (direct):
Ba (0.000, 0.000, 0.000)
Ba (0.000, 0.500, 0.500)
Ba (0.250, 0.250, 0.250)
Ba (0.250, 0.750, 0.750)
Ba (0.500, 0.000, 0.500)
Ba (0.500, 0.500, 0.000)
Ba (0.750, 0.250, 0.750)
Ba (0.750, 0.750, 0.250)
Co (0.250, 0.250, 0.750)
Co (0.250, 0.750, 0.250)
Co (0.750, 0.250, 0.250)
Co (0.750, 0.750, 0.750)
Tc (0.000, 0.000, 0.500)
Tc (0.000, 0.500, 0.000)
Tc (0.500, 0.000, 0.000)
Tc (0.500, 0.500, 0.500)


[13]
Ba2CoTc | GGA-PBEsol | optimized geometry

* total DFT energy (no corrections): -4.64 eV per atom
* crystal system: tetragonal
* E above lowest polymorph: 0.594 eV per atom
* calculated formation energy: 4.76 eV per formula unit
* Fermi-level density of states: 8.39 states/eV per cell

Unit cell a=5.468 b=5.468 c=3.479 alpha=90.00 beta=90.00 gamma=90.00
Positions (direct):
Ba (0.000, 0.500, 0.000)
Ba (0.500, 0.000, 0.000)
Co (0.000, 0.000, 0.500)
Tc (0.500, 0.500, 0.500)


[14]
Ba2CoTc | GGA-PBEsol | optimized geometry

* total DFT energy (no corrections): -5.23 eV per atom
* crystal system: orthorhombic
* E above lowest polymorph: 0.000 eV per atom
* calculated formation energy: 2.38 eV per formula unit
* Fermi-level density of states: 9.94 states/eV per cell

Unit cell a=3.897 b=4.898 c=12.126 alpha=90.00 beta=90.00 gamma=90.00
Positions (direct):
Ba (0.000, 0.000, 0.000)
Ba (0.000, 0.500, 0.224)
Ba (0.500, 0.000, 0.724)
Ba (0.500, 0.500, 0.500)
Co (0.000, 0.000, 0.400)
Co (0.500, 0.500, 0.900)
Tc (0.000, 0.500, 0.817)
Tc (0.500, 0.000, 0.317)


[15]
BaCoTe3 | GGA-PBEsol | optimized geometry

* total DFT energy (no corrections): -4.61 eV per atom
* uncorrected formation energy: -0.51 eV/atom
* crystal system: cubic
* Fermi-level density of states: 6.93 states/eV per cell

Unit cell a=5.160 b=5.160 c=5.160 alpha=90.00 beta=90.00 gamma=90.00
Positions (direct):
Ba (0.000, 0.000, 0.000)
Co (0.500, 0.500, 0.500)
Te (0.000, 0.500, 0.500)
Te (0.500, 0.000, 0.500)
Te (0.500, 0.500, 0.000)